--- A ---
A relaxed structure of NaSrPrSe3. Source: OQMD, functional PBE-GGA.

Cell and atoms, written as extended XYZ:
```
24
Lattice="11.2890 0.0000 0.0000 0.0000 4.3835 0.0000 0.0000 0.0000 14.0057" Properties=species:S:1:pos:R:3 pbc="T T T"
Na 3.0650 1.0959 3.3078
Na 8.7095 1.0959 3.6951
Na 2.5795 3.2876 10.3107
Na 8.2240 3.2876 10.6979
Pr 0.2342 3.2876 3.2821
Pr 5.8787 3.2876 3.7207
Pr 5.4103 1.0959 10.2850
Pr 11.0548 1.0959 10.7236
Se 1.0585 1.0959 1.4761
Se 5.2298 1.0959 1.6562
Se 8.6177 3.2876 2.1406
Se 2.9732 3.2876 4.8623
Se 10.8743 1.0959 5.3467
Se 6.7030 1.0959 5.5268
Se 4.5860 3.2876 8.4789
Se 0.4147 3.2876 8.6590
Se 8.3158 1.0959 9.1435
Se 2.6713 1.0959 11.8651
Se 6.0591 3.2876 12.3495
Se 10.2305 3.2876 12.5296
Sr 3.2904 3.2876 0.0348
Sr 8.9349 3.2876 6.9680
Sr 2.3540 1.0959 7.0377
Sr 7.9985 1.0959 13.9709
```

Computed properties:
Crystal system: orthorhombic

--- B ---
A relaxed structure of NaSrPrSe3. Source: OQMD, functional PBE-GGA.

Cell and atoms, written as extended XYZ:
```
12
Lattice="-0.6416 6.5870 3.1099 -3.4648 -6.2310 -1.6255 3.1618 -4.3094 9.7797" Properties=species:S:1:pos:R:3 pbc="T T T"
Na -1.2039 -0.6320 3.2859
Na 0.2593 -3.3214 7.9783
Pr 0.0000 0.0000 0.0000
Pr 1.5809 -2.1547 4.8898
Se -1.4648 1.7320 1.9972
Se -0.1132 4.3198 5.1153
Se -0.2625 0.0934 5.7160
Se -0.6821 -4.0467 5.5482
Se -0.8313 -8.2732 6.1489
Se 0.5202 -5.6854 9.2669
Sr -1.9715 -4.1173 1.9983
Sr 1.0269 0.1639 9.2658
```

Computed properties:
Crystal system: orthorhombic

Relative calculated energies, zero for the most stable structure, unit kJ/mol of atoms: A 0.0; B 0.9.

--- A ---
A relaxed structure of NaPrZnTe3. Source: OQMD, functional PBE-GGA.

Cell and atoms, written as extended XYZ:
```
24
Lattice="12.6182 0.0000 0.0000 0.0000 4.4712 0.0000 0.0000 0.0000 13.1152" Properties=species:S:1:pos:R:3 pbc="T T T"
Na 10.2584 2.2356 0.1300
Na 3.9493 2.2356 6.4276
Na 8.6690 0.0000 6.6876
Na 2.3599 0.0000 12.9853
Pr 5.9146 2.2356 2.4194
Pr 12.2237 2.2356 4.1382
Pr 0.3946 0.0000 8.9770
Pr 6.7037 0.0000 10.6958
Te 7.6187 0.0000 0.8323
Te 11.9727 0.0000 1.8358
Te 2.6349 2.2356 2.3652
Te 8.9440 2.2356 4.1923
Te 5.6636 0.0000 4.7218
Te 1.3095 0.0000 5.7253
Te 11.3087 2.2356 7.3899
Te 6.9547 2.2356 8.3934
Te 3.6743 0.0000 8.9229
Te 9.9834 0.0000 10.7499
Te 0.6456 2.2356 11.2794
Te 4.9996 2.2356 12.2829
Zn 9.4942 0.0000 2.7291
Zn 3.1850 0.0000 3.8285
Zn 9.4332 2.2356 9.2868
Zn 3.1241 2.2356 10.3861
```

Computed properties:
Crystal system: orthorhombic

--- B ---
A relaxed structure of NaPrZnTe3. Source: OQMD, functional PBE-GGA.

Cell and atoms, written as extended XYZ:
```
12
Lattice="-6.6033 2.2589 3.2163 -7.2286 -1.8622 1.8249 3.7430 -4.1452 10.5959" Properties=species:S:1:pos:R:3 pbc="T T T"
Na -9.6277 -0.7333 6.4990
Na -0.4612 -3.0152 9.1381
Pr 0.0000 0.0000 0.0000
Pr 1.8715 -2.0726 5.2979
Te -4.6522 -0.1697 2.5934
Te -0.2202 -1.0032 3.0703
Te -3.3426 -1.6200 6.3005
Te -6.7463 -2.1285 9.3366
Te -9.8687 -2.7453 12.5669
Te -5.4367 -3.5788 13.0438
Zn -5.5550 -0.8501 5.0146
Zn -4.5339 -2.8984 10.6225
```

Computed properties:
Crystal system: orthorhombic

Relative calculated energies, zero for the most stable structure, unit kJ/mol of atoms: A 1.5; B 0.0.

--- A ---
A relaxed structure of RbNaTePt. Source: OQMD, functional PBE-GGA.

Cell and atoms, written as extended XYZ:
```
4
Lattice="-1.6654 -2.9906 3.9365 -4.3162 1.3059 2.6227 -4.3405 -2.8430 -0.5395" Properties=species:S:1:pos:R:3 pbc="T T T"
Na -7.7415 -3.3957 4.5148
Pt -2.5805 -1.1319 1.5049
Rb -5.1610 -2.2638 3.0098
Te 0.0000 0.0000 0.0000
```

Computed properties:
Crystal system: cubic

--- B ---
A relaxed structure of RbNaTePt. Source: OQMD, functional PBE-GGA.

Cell and atoms, written as extended XYZ:
```
4
Lattice="0.0000 3.8463 3.8463 3.8463 0.0000 3.8463 3.8463 3.8463 0.0000" Properties=species:S:1:pos:R:3 pbc="T T T"
Na 5.7695 5.7695 5.7695
Pt 3.8463 3.8463 3.8463
Rb 1.9232 1.9232 1.9232
Te 0.0000 0.0000 0.0000
```

Computed properties:
Crystal system: cubic

Relative calculated energies, zero for the most stable structure, unit kJ/mol of atoms: A 0.0; B 23.3.

--- A ---
A relaxed structure of NaSrSbPt. Source: OQMD, functional PBE-GGA.

Cell and atoms, written as extended XYZ:
```
4
Lattice="2.7225 0.4881 4.4599 -2.1713 -1.4042 4.5667 1.7093 -4.2786 2.5124" Properties=species:S:1:pos:R:3 pbc="T T T"
Na 1.6953 -3.8961 8.6543
Pt 1.1302 -2.5974 5.7695
Sb 0.0000 0.0000 0.0000
Sr 0.5651 -1.2987 2.8848
```

Computed properties:
Crystal system: cubic

--- B ---
A relaxed structure of NaSrSbPt. Source: OQMD, functional PBE-GGA.

Cell and atoms, written as extended XYZ:
```
4
Lattice="4.4140 -1.3752 2.1035 1.3899 1.9395 4.4839 0.0328 -2.9430 4.1396" Properties=species:S:1:pos:R:3 pbc="T T T"
Na 4.3775 -1.7841 8.0453
Pt 0.0000 0.0000 0.0000
Sb 1.4592 -0.5947 2.6818
Sr 2.9183 -1.1894 5.3635
```

Computed properties:
Crystal system: cubic

--- C ---
A relaxed structure of NaSrSbPt. Source: OQMD, functional PBE-GGA.

Cell and atoms, written as extended XYZ:
```
4
Lattice="2.6852 -3.0843 -2.9796 2.2192 -4.1058 1.9540 -1.7678 -4.6065 -1.1208" Properties=species:S:1:pos:R:3 pbc="T T T"
Na 2.3524 -8.8475 -1.6098
Pt 0.7841 -2.9491 -0.5366
Sb 0.0000 0.0000 0.0000
Sr 1.5683 -5.8983 -1.0732
```

Computed properties:
Crystal system: cubic

Relative calculated energies, zero for the most stable structure, unit kJ/mol of atoms: A 19.0; B 10.4; C 0.0.

--- A ---
A relaxed structure of NaTlSiPt. Source: OQMD, functional PBE-GGA.

Cell and atoms, written as extended XYZ:
```
4
Lattice="1.1323 -3.6688 2.7527 -3.2922 -2.0127 2.7258 -1.6100 -4.3183 -1.0390" Properties=species:S:1:pos:R:3 pbc="T T T"
Na -2.8275 -7.4998 3.3296
Pt -0.9425 -2.4999 1.1099
Si 0.0000 0.0000 0.0000
Tl -1.8850 -4.9999 2.2198
```

Computed properties:
Crystal system: cubic

--- B ---
A relaxed structure of NaTlSiPt. Source: OQMD, functional PBE-GGA.

Cell and atoms, written as extended XYZ:
```
4
Lattice="0.0000 3.4033 3.4033 3.4033 0.0000 3.4033 3.4033 3.4033 0.0000" Properties=species:S:1:pos:R:3 pbc="T T T"
Na 5.1050 5.1050 5.1050
Pt 3.4033 3.4033 3.4033
Si 0.0000 0.0000 0.0000
Tl 1.7017 1.7017 1.7017
```

Computed properties:
Crystal system: cubic

Relative calculated energies, zero for the most stable structure, unit kJ/mol of atoms: A 0.0; B 21.6.

--- A ---
A relaxed structure of NaTlSnPt. Source: OQMD, functional PBE-GGA.

Cell and atoms, written as extended XYZ:
```
4
Lattice="4.6877 0.9542 1.5250 0.7900 2.8910 4.0284 1.7198 -2.0379 4.2543" Properties=species:S:1:pos:R:3 pbc="T T T"
Na 5.3981 1.3555 7.3558
Pt 3.5987 0.9037 4.9038
Sn 0.0000 0.0000 0.0000
Tl 1.7994 0.4518 2.4519
```

Computed properties:
Crystal system: cubic

--- B ---
A relaxed structure of NaTlSnPt. Source: OQMD, functional PBE-GGA.

Cell and atoms, written as extended XYZ:
```
4
Lattice="0.0000 3.4836 3.4836 3.4836 0.0000 3.4836 3.4836 3.4836 0.0000" Properties=species:S:1:pos:R:3 pbc="T T T"
Na 5.2253 5.2253 5.2253
Pt 1.7418 1.7418 1.7418
Sn 0.0000 0.0000 0.0000
Tl 3.4835 3.4835 3.4835
```

Computed properties:
Crystal system: cubic

Relative calculated energies, zero for the most stable structure, unit kJ/mol of atoms: A 20.9; B 0.0.

--- A ---
A relaxed structure of NaSrPt. Source: OQMD, functional PBE-GGA.

Cell and atoms, written as extended XYZ:
```
3
Lattice="0.0000 3.5478 3.5478 3.5478 0.0000 3.5478 3.5478 3.5478 0.0000" Properties=species:S:1:pos:R:3 pbc="T T T"
Na 1.7739 1.7739 1.7739
Pt 5.3217 5.3217 5.3217
Sr 0.0000 0.0000 0.0000
```

Computed properties:
Crystal system: cubic

--- B ---
A relaxed structure of NaSrPt. Source: OQMD, functional PBE-GGA.

Cell and atoms, written as extended XYZ:
```
3
Lattice="0.8592 -3.7292 3.2557 -2.2463 -4.4503 -0.6277 2.6957 -3.9976 -1.4134" Properties=species:S:1:pos:R:3 pbc="T T T"
Na 0.3272 -3.0443 0.3036
Pt 0.0000 0.0000 0.0000
Sr 0.9815 -9.1328 0.9109
```

Computed properties:
Crystal system: cubic

Relative calculated energies, zero for the most stable structure, unit kJ/mol of atoms: A 36.2; B 0.0.

--- A ---
A relaxed structure of NaZrTlPt. Source: OQMD, functional PBE-GGA.

Cell and atoms, written as extended XYZ:
```
4
Lattice="0.0000 3.4441 3.4441 3.4441 0.0000 3.4441 3.4441 3.4441 0.0000" Properties=species:S:1:pos:R:3 pbc="T T T"
Na 5.1661 5.1661 5.1661
Pt 0.0000 0.0000 0.0000
Tl 3.4441 3.4441 3.4441
Zr 1.7220 1.7220 1.7220
```

Computed properties:
Crystal system: cubic

--- B ---
A relaxed structure of NaZrTlPt. Source: OQMD, functional PBE-GGA.

Cell and atoms, written as extended XYZ:
```
4
Lattice="2.6348 2.1297 3.3666 -0.6276 4.6396 0.9441 -2.0174 1.3484 4.1138" Properties=species:S:1:pos:R:3 pbc="T T T"
Na -0.0077 6.0882 6.3183
Pt -0.0026 2.0294 2.1061
Tl -0.0051 4.0588 4.2122
Zr 0.0000 0.0000 0.0000
```

Computed properties:
Crystal system: cubic

Relative calculated energies, zero for the most stable structure, unit kJ/mol of atoms: A 8.3; B 0.0.

--- A ---
A relaxed structure of NaTmPt. Source: OQMD, functional PBE-GGA.

Cell and atoms, written as extended XYZ:
```
3
Lattice="0.9718 -4.5607 0.5942 -2.4869 -2.5532 3.0649 -3.0043 -3.2651 -1.5528" Properties=species:S:1:pos:R:3 pbc="T T T"
Na -1.1298 -2.5947 0.5266
Pt -3.3895 -7.7842 1.5797
Tm 0.0000 0.0000 0.0000
```

Computed properties:
Crystal system: cubic

--- B ---
A relaxed structure of NaTmPt. Source: OQMD, functional PBE-GGA.

Cell and atoms, written as extended XYZ:
```
3
Lattice="2.4146 -3.7889 1.3946 -2.1471 -4.1742 0.3114 1.0193 -3.4052 -3.0817" Properties=species:S:1:pos:R:3 pbc="T T T"
Na 0.3217 -2.8421 -0.3439
Pt 0.0000 0.0000 0.0000
Tm 0.9651 -8.5262 -1.0317
```

Computed properties:
Crystal system: cubic

Relative calculated energies, zero for the most stable structure, unit kJ/mol of atoms: A 35.7; B 0.0.

--- A ---
A relaxed structure of NaYZrPt. Source: OQMD, functional PBE-GGA.

Cell and atoms, written as extended XYZ:
```
4
Lattice="-4.3134 -2.4312 -0.1499 -4.1644 2.2520 1.4577 -3.4362 1.2558 -3.3397" Properties=species:S:1:pos:R:3 pbc="T T T"
Na -8.9355 0.8074 -1.5239
Pt -2.9785 0.2691 -0.5080
Y -5.9570 0.5383 -1.0160
Zr 0.0000 0.0000 0.0000
```

Computed properties:
Crystal system: cubic

--- B ---
A relaxed structure of NaYZrPt. Source: OQMD, functional PBE-GGA.

Cell and atoms, written as extended XYZ:
```
4
Lattice="0.0000 3.4647 3.4647 3.4647 0.0000 3.4647 3.4647 3.4647 0.0000" Properties=species:S:1:pos:R:3 pbc="T T T"
Na 5.1971 5.1971 5.1971
Pt 0.0000 0.0000 0.0000
Y 3.4647 3.4647 3.4647
Zr 1.7324 1.7324 1.7324
```

Computed properties:
Crystal system: cubic

Relative calculated energies, zero for the most stable structure, unit kJ/mol of atoms: A 0.0; B 19.2.

--- A ---
A relaxed structure of NaPuRe. Source: OQMD, functional PBE-GGA.

Cell and atoms, written as extended XYZ:
```
3
Lattice="2.0003 1.1134 3.9826 0.5967 4.4162 1.1149 -2.4893 1.8733 3.3758" Properties=species:S:1:pos:R:3 pbc="T T T"
Na 0.0269 1.8507 2.1183
Pu 0.0000 0.0000 0.0000
Re 0.0808 5.5522 6.3550
```

Computed properties:
Crystal system: cubic

--- B ---
A relaxed structure of NaPuRe. Source: OQMD, functional PBE-GGA.

Cell and atoms, written as extended XYZ:
```
3
Lattice="0.0000 3.2261 3.2261 3.2261 0.0000 3.2261 3.2261 3.2261 0.0000" Properties=species:S:1:pos:R:3 pbc="T T T"
Na 0.0000 0.0000 0.0000
Pu 1.6130 1.6130 1.6130
Re 4.8391 4.8391 4.8391
```

Computed properties:
Crystal system: cubic

Relative calculated energies, zero for the most stable structure, unit kJ/mol of atoms: A 0.0; B 14.7.

--- A ---
A relaxed structure of NaPuTe. Source: OQMD, functional PBE-GGA.

Cell and atoms, written as extended XYZ:
```
3
Lattice="-3.1518 -1.7888 3.6712 -5.0860 -0.1987 -0.8390 -2.3383 -4.5583 -0.6042" Properties=species:S:1:pos:R:3 pbc="T T T"
Na -2.6440 -1.6365 0.5570
Pu -7.9321 -4.9094 1.6710
Te 0.0000 0.0000 0.0000
```

Computed properties:
Crystal system: cubic

--- B ---
A relaxed structure of NaPuTe. Source: OQMD, functional PBE-GGA.

Cell and atoms, written as extended XYZ:
```
3
Lattice="3.8373 -3.4500 0.7683 3.1236 0.4547 4.1538 -0.3326 -3.4452 3.9035" Properties=species:S:1:pos:R:3 pbc="T T T"
Na 3.3142 -3.2202 4.4129
Pu 1.6571 -1.6101 2.2064
Te 0.0000 0.0000 0.0000
```

Computed properties:
Crystal system: cubic

Relative calculated energies, zero for the most stable structure, unit kJ/mol of atoms: A 0.0; B 22.6.